VASP calculation (GGA-PBE) on a relaxed structure of YZnGaCu6. Values from VASP.

The structure in Quantum ESPRESSO input format:
```
&SYSTEM
  ibrav = 0, nat = 18, ntyp = 4
/
ATOMIC_SPECIES
Y 88.91 Y.upf
Zn 65.41 Zn.upf
Ga 69.72 Ga.upf
Cu 63.55 Cu.upf
ATOMIC_POSITIONS angstrom
Y 0.000 2.175 2.061
Y 3.442 2.175 2.762
Zn 1.721 2.175 -2.412
Zn 1.721 -2.175 2.412
Ga 0.000 0.000 0.000
Ga 0.000 4.350 0.000
Cu 2.196 0.016 1.228
Cu 4.689 0.016 1.228
Cu 3.442 -2.175 4.022
Cu 3.442 2.175 -0.203
Cu 2.196 4.367 -1.228
Cu 1.247 0.016 3.595
Cu 2.196 4.334 1.228
Cu 1.247 -0.016 6.051
Cu 0.000 2.175 5.026
Cu 0.000 6.526 0.801
Cu -1.247 4.334 3.595
Cu 1.247 4.334 3.595
CELL_PARAMETERS angstrom
-3.442 4.350 4.823
3.442 -4.350 4.823
3.442 4.350 -4.823
```

Properties
* E_tot: -0.1409 Ha/atom
* V: 288.9 Å³ per cell
* energy of formation: 0.09 eV/atom
* total magnetic moment: 0.0 μB per cell

---

VASP calculation (GGA-PBE) on a relaxed structure of Y2Zn3GaCu12. Values from VASP.

The structure in Quantum ESPRESSO input format:
```
&SYSTEM
  ibrav = 0, nat = 18, ntyp = 4
/
ATOMIC_SPECIES
Y 88.91 Y.upf
Zn 65.41 Zn.upf
Ga 69.72 Ga.upf
Cu 63.55 Cu.upf
ATOMIC_POSITIONS angstrom
Y 0.000 0.000 2.553
Y 0.000 0.000 9.759
Zn -2.190 -1.264 4.104
Zn -2.190 1.264 8.208
Zn 0.000 2.529 4.104
Ga 0.000 0.000 6.156
Cu 0.000 -2.804 3.299
Cu -2.428 1.402 3.299
Cu -2.070 -1.195 6.644
Cu 0.000 -2.390 5.668
Cu -2.070 1.195 5.668
Cu -2.428 -1.402 9.013
Cu 2.428 1.402 3.299
Cu 2.070 -1.195 6.644
Cu 0.000 2.390 6.644
Cu 2.070 1.195 5.668
Cu 2.428 -1.402 9.013
Cu 0.000 2.804 9.013
CELL_PARAMETERS angstrom
4.380 2.529 4.104
-4.380 2.529 4.104
0.000 -5.058 4.104
```

Properties
* E_tot: -0.1400 Ha/atom
* V: 272.8 Å³ per cell
* energy of formation: 0.02 eV/atom
* total magnetic moment: 0.0 μB per cell

---

VASP calculation (GGA-PBE) on a relaxed structure of YZn6GaCu. Values from VASP.

The structure in Quantum ESPRESSO input format:
```
&SYSTEM
  ibrav = 0, nat = 18, ntyp = 4
/
ATOMIC_SPECIES
Y 88.91 Y.upf
Zn 65.41 Zn.upf
Ga 69.72 Ga.upf
Cu 63.55 Cu.upf
ATOMIC_POSITIONS angstrom
Y 0.000 2.224 2.167
Y 3.404 2.224 3.252
Zn 2.102 0.096 1.357
Zn 4.706 0.096 1.357
Zn 3.404 -2.224 4.596
Zn 3.404 2.224 -0.051
Zn 2.102 4.543 -1.357
Zn 1.302 0.096 4.062
Zn 2.102 4.351 1.357
Zn 1.302 -0.096 6.776
Zn 0.000 2.224 5.470
Zn 0.000 6.671 0.823
Zn -1.302 4.351 4.062
Zn 1.302 4.351 4.062
Ga 1.702 2.224 -2.710
Ga 1.702 -2.224 2.710
Cu 0.000 0.000 0.000
Cu 0.000 4.447 0.000
CELL_PARAMETERS angstrom
-3.404 4.447 5.419
3.404 -4.447 5.419
3.404 4.447 -5.419
```

Properties
* E_tot: -0.0872 Ha/atom
* V: 328.1 Å³ per cell
* energy of formation: -0.01 eV/atom
* total magnetic moment: 0.0 μB per cell

---

VASP calculation (GGA-PBE) on a relaxed structure of YZnGa4Cu2. Values from VASP.

The structure in Quantum ESPRESSO input format:
```
&SYSTEM
  ibrav = 0, nat = 8, ntyp = 4
/
ATOMIC_SPECIES
Y 88.91 Y.upf
Zn 65.41 Zn.upf
Ga 69.72 Ga.upf
Cu 63.55 Cu.upf
ATOMIC_POSITIONS angstrom
Y 0.000 0.000 0.000
Zn 0.000 0.000 12.910
Ga 0.000 0.000 3.220
Ga 0.000 0.000 10.258
Ga 0.000 0.000 15.562
Ga 0.000 0.000 22.601
Cu 0.000 0.000 6.236
Cu 0.000 0.000 19.584
CELL_PARAMETERS angstrom
2.143 1.237 8.607
-2.143 1.237 8.607
0.000 -2.475 8.607
```

Properties
* E_tot: -0.1363 Ha/atom
* V: 137.0 Å³ per cell
* energy of formation: -0.20 eV/atom
* total magnetic moment: 0.0 μB per cell

---

VASP calculation (GGA-PBE) on a relaxed structure of Y2ZnGa3Cu12. Values from VASP.

The structure in Quantum ESPRESSO input format:
```
&SYSTEM
  ibrav = 0, nat = 18, ntyp = 4
/
ATOMIC_SPECIES
Y 88.91 Y.upf
Zn 65.41 Zn.upf
Ga 69.72 Ga.upf
Cu 63.55 Cu.upf
ATOMIC_POSITIONS angstrom
Y 0.000 0.000 2.480
Y 0.000 0.000 9.809
Zn 0.000 0.000 6.144
Ga -2.205 -1.273 4.096
Ga -2.205 1.273 8.192
Ga 0.000 2.546 4.096
Cu 0.000 -2.787 3.299
Cu -2.414 1.393 3.299
Cu -2.090 -1.207 6.615
Cu 0.000 -2.414 5.673
Cu -2.090 1.207 5.673
Cu -2.414 -1.393 8.990
Cu 2.414 1.393 3.299
Cu 2.090 -1.207 6.615
Cu 0.000 2.414 6.615
Cu 2.090 1.207 5.673
Cu 2.414 -1.393 8.990
Cu 0.000 2.787 8.990
CELL_PARAMETERS angstrom
4.410 2.546 4.096
-4.410 2.546 4.096
0.000 -5.093 4.096
```

Properties
* E_tot: -0.1483 Ha/atom
* V: 276.0 Å³ per cell
* energy of formation: -0.01 eV/atom
* total magnetic moment: 0.0 μB per cell

---

VASP calculation (GGA-PBE) on a relaxed structure of YZnGaCu3. Values from VASP.

The structure in Quantum ESPRESSO input format:
```
&SYSTEM
  ibrav = 0, nat = 12, ntyp = 4
/
ATOMIC_SPECIES
Y 88.91 Y.upf
Zn 65.41 Zn.upf
Ga 69.72 Ga.upf
Cu 63.55 Cu.upf
ATOMIC_POSITIONS angstrom
Y 3.029 3.545 4.277
Y 3.029 -3.545 1.426
Zn 3.029 4.232 1.426
Zn 3.029 -4.232 4.277
Ga 3.029 0.713 4.277
Ga 3.029 -0.713 1.426
Cu 1.214 0.000 0.000
Cu 1.214 0.000 2.851
Cu 3.029 1.761 1.426
Cu 3.029 -1.761 4.277
Cu 4.844 0.000 0.000
Cu 4.844 0.000 2.851
CELL_PARAMETERS angstrom
3.029 -5.961 0.000
3.029 5.961 0.000
0.000 0.000 5.703
```

Properties
* E_tot: -0.1445 Ha/atom
* V: 205.9 Å³ per cell
* energy of formation: -0.09 eV/atom
* total magnetic moment: 0.0 μB per cell

---

VASP calculation (GGA-PBE) on a relaxed structure of Y2Zn3Ga4Cu. Values from VASP.

The structure in Quantum ESPRESSO input format:
```
&SYSTEM
  ibrav = 0, nat = 10, ntyp = 4
/
ATOMIC_SPECIES
Y 88.91 Y.upf
Zn 65.41 Zn.upf
Ga 69.72 Ga.upf
Cu 63.55 Cu.upf
ATOMIC_POSITIONS angstrom
Y 0.000 2.087 2.571
Y 2.087 0.000 7.916
Zn 0.000 0.000 0.000
Zn 0.000 2.087 6.723
Zn 2.087 0.000 3.764
Ga 0.000 0.000 5.243
Ga 0.000 2.087 9.136
Ga 2.087 0.000 1.351
Ga 2.087 2.087 5.243
Cu 2.087 2.087 0.000
CELL_PARAMETERS angstrom
4.173 0.000 0.000
0.000 4.173 0.000
0.000 0.000 10.487
```

Properties
* E_tot: -0.1368 Ha/atom
* V: 182.7 Å³ per cell
* energy of formation: -0.43 eV/atom
* total magnetic moment: 0.0 μB per cell

---

VASP calculation (GGA-PBE) on a relaxed structure of YZnGaCu2. Values from VASP.

The structure in Quantum ESPRESSO input format:
```
&SYSTEM
  ibrav = 0, nat = 5, ntyp = 4
/
ATOMIC_SPECIES
Y 88.91 Y.upf
Zn 65.41 Zn.upf
Ga 69.72 Ga.upf
Cu 63.55 Cu.upf
ATOMIC_POSITIONS angstrom
Y 0.000 0.000 0.000
Zn 1.978 0.000 2.611
Ga 0.000 0.000 4.228
Cu 0.000 0.000 6.640
Cu 0.000 1.979 2.689
CELL_PARAMETERS angstrom
-1.978 1.979 5.517
1.978 -1.979 5.517
1.978 1.979 -5.517
```

Properties
* E_tot: -0.1509 Ha/atom
* V: 86.4 Å³ per cell
* energy of formation: -0.32 eV/atom
* total magnetic moment: 0.0 μB per cell

---

VASP calculation (GGA-PBE) on a relaxed structure of Y2ZnGa3Cu4. Values from VASP.

The structure in Quantum ESPRESSO input format:
```
&SYSTEM
  ibrav = 0, nat = 10, ntyp = 4
/
ATOMIC_SPECIES
Y 88.91 Y.upf
Zn 65.41 Zn.upf
Ga 69.72 Ga.upf
Cu 63.55 Cu.upf
ATOMIC_POSITIONS angstrom
Y 0.000 2.058 2.512
Y 2.058 0.000 7.668
Zn 0.000 0.000 5.090
Ga 0.000 2.058 8.850
Ga 2.058 0.000 1.331
Ga 2.058 2.058 5.090
Cu 0.000 0.000 0.000
Cu 0.000 2.058 6.465
Cu 2.058 0.000 3.715
Cu 2.058 2.058 0.000
CELL_PARAMETERS angstrom
4.116 0.000 0.000
0.000 4.116 0.000
0.000 0.000 10.180
```

Properties
* E_tot: -0.1605 Ha/atom
* V: 172.5 Å³ per cell
* energy of formation: -0.40 eV/atom
* total magnetic moment: 0.0 μB per cell

---

VASP calculation (GGA-PBE) on a relaxed structure of YZr2GaCu. Values from VASP.

The structure in Quantum ESPRESSO input format:
```
&SYSTEM
  ibrav = 0, nat = 5, ntyp = 4
/
ATOMIC_SPECIES
Y 88.91 Y.upf
Zr 91.22 Zr.upf
Ga 69.72 Ga.upf
Cu 63.55 Cu.upf
ATOMIC_POSITIONS angstrom
Y 0.000 0.000 0.000
Zr 0.000 2.581 2.258
Zr 2.581 0.000 2.258
Ga 2.581 2.581 2.258
Cu 2.581 2.581 0.000
CELL_PARAMETERS angstrom
5.162 0.000 0.000
0.000 5.162 0.000
0.000 0.000 4.516
```

Properties
* E_tot: -0.2118 Ha/atom
* V: 120.4 Å³ per cell
* energy of formation: 0.37 eV/atom
* total magnetic moment: 1.5 μB per cell

---

VASP calculation (GGA-PBE) on a relaxed structure of YbGa8Cu4. Values from VASP.

The structure in Quantum ESPRESSO input format:
```
&SYSTEM
  ibrav = 0, nat = 13, ntyp = 3
/
ATOMIC_SPECIES
Yb 173.04 Yb.upf
Ga 69.72 Ga.upf
Cu 63.55 Cu.upf
ATOMIC_POSITIONS angstrom
Yb 0.000 0.000 0.000
Ga 3.081 0.000 0.000
Ga 5.819 0.000 0.000
Ga 4.450 2.526 0.000
Ga 0.000 3.081 0.000
Ga 2.526 4.450 0.000
Ga 1.924 0.000 2.610
Ga 0.000 5.819 0.000
Ga 0.000 1.924 2.610
Cu 2.225 2.225 -1.305
Cu 2.225 -2.225 1.305
Cu -2.225 2.225 1.305
Cu 2.225 2.225 1.305
CELL_PARAMETERS angstrom
-4.450 4.450 2.610
4.450 -4.450 2.610
4.450 4.450 -2.610
```

Properties
* E_tot: -0.1268 Ha/atom
* V: 206.7 Å³ per cell
* energy of formation: -0.21 eV/atom
* energy relative to the lowest polymorph listed for this composition: 0.00 eV/f.u.
* total magnetic moment: 0.0 μB per cell

---

VASP calculation (GGA-PBE) on a relaxed structure of YbGa8Cu4. Values from VASP.

The structure in Quantum ESPRESSO input format:
```
&SYSTEM
  ibrav = 0, nat = 39, ntyp = 3
/
ATOMIC_SPECIES
Yb 173.04 Yb.upf
Ga 69.72 Ga.upf
Cu 63.55 Cu.upf
ATOMIC_POSITIONS angstrom
Yb 0.000 0.000 0.000
Yb 0.000 0.000 5.368
Yb 0.000 0.000 10.671
Ga 2.237 2.237 -4.010
Ga 3.138 0.000 0.000
Ga 2.237 -2.237 4.010
Ga 5.810 0.000 0.000
Ga 4.474 1.368 -2.367
Ga 4.474 -2.536 5.461
Ga 1.938 0.000 2.559
Ga 7.010 0.000 2.559
Ga 4.474 1.368 2.367
Ga 0.000 3.138 0.000
Ga 1.368 4.474 -2.367
Ga 3.106 0.000 5.653
Ga 0.000 1.938 2.559
Ga -2.237 2.237 4.010
Ga 2.237 2.237 4.010
Ga 4.474 2.536 5.461
Ga 1.368 4.474 2.367
Ga 3.106 0.000 10.387
Ga 0.000 5.810 0.000
Ga 0.000 3.106 5.653
Ga -2.536 4.474 5.461
Ga 2.536 4.474 5.461
Ga 0.000 7.010 2.559
Ga 0.000 3.106 10.387
Cu 2.272 2.272 -1.269
Cu 2.202 -2.202 6.751
Cu 4.474 2.629 0.000
Cu 2.272 2.272 1.269
Cu 2.202 -2.202 9.288
Cu 2.629 4.474 0.000
Cu 1.845 0.000 8.020
Cu -2.202 2.202 6.751
Cu 2.202 2.202 6.751
Cu 0.000 1.845 8.020
Cu -2.202 2.202 9.288
Cu 2.202 2.202 9.288
CELL_PARAMETERS angstrom
-4.474 4.474 8.020
4.474 -4.474 8.020
4.474 4.474 -8.020
```

Properties
* E_tot: -0.1248 Ha/atom
* V: 642.1 Å³ per cell
* energy of formation: -0.16 eV/atom
* energy relative to the lowest polymorph listed for this composition: 0.70 eV/f.u.
* total magnetic moment: 0.2 μB per cell